Here is crystalline LaAl2Hg at its relaxed geometry from Alexandria via LeMat-Bulk. Energies are from PBE.

Output
Electronic total energy ... -3.39 eV per atom
Symmetry ... Pm
Energy of formation from the pure elements ... -0.84 eV per formula unit
Calculated volume ... 97.4 Å³ per cell

Structure (CIF):
```
data_LaAl2Hg
_cell_length_a 3.467
_cell_length_b 4.733
_cell_length_c 5.936
_cell_angle_alpha 90.00
_cell_angle_beta 90.08
_cell_angle_gamma 90.00
_symmetry_space_group_name_H-M 'P 1'
_symmetry_Int_Tables_number 1
_symmetry_space_group_name_Hall 'P 1'
loop_
_atom_site_label
_atom_site_fract_x
_atom_site_fract_y
_atom_site_fract_z
_atom_site_occupancy
La1 0.000 0.000 0.000 1
Al1 0.500 0.000 0.481 1
Al2 0.502 0.500 0.246 1
Hg1 0.499 0.500 0.733 1
```

Here is crystalline Er8Sb2Os at its relaxed geometry from Alexandria via LeMat-Bulk. Energies are from PBE.

Output
Electronic total energy ... -5.52 eV per atom
Symmetry ... C2/m
Energy relative to the elements, uncorrected ... -0.434 eV/atom
Calculated volume ... 299.4 Å³ per cell

Structure (CIF):
```
data_Er8Sb2Os
_cell_length_a 9.891
_cell_length_b 9.891
_cell_length_c 6.604
_cell_angle_alpha 105.32
_cell_angle_beta 105.32
_cell_angle_gamma 28.80
_symmetry_space_group_name_H-M 'P 1'
_symmetry_Int_Tables_number 1
_symmetry_space_group_name_Hall 'P 1'
loop_
_atom_site_label
_atom_site_fract_x
_atom_site_fract_y
_atom_site_fract_z
_atom_site_occupancy
Er1 0.021 0.021 0.289 1
Er2 0.220 0.220 0.826 1
Er3 0.354 0.354 0.492 1
Er4 0.411 0.411 0.044 1
Er5 0.589 0.589 0.956 1
Er6 0.646 0.646 0.508 1
Er7 0.780 0.780 0.174 1
Er8 0.979 0.979 0.711 1
Sb1 0.181 0.181 0.258 1
Sb2 0.819 0.819 0.742 1
Os1 0.500 0.500 0.500 1
```

Here is crystalline PmSm4Ho3S8 at its relaxed geometry from Alexandria via LeMat-Bulk. Energies are from PBE.

Output
Electronic total energy ... -6.40 eV per atom
Symmetry ... R-3m
Energy relative to the elements, uncorrected ... -2.002 eV/atom
Calculated volume ... 353.3 Å³ per cell

Structure (CIF):
```
data_PmSm4Ho3S8
_cell_length_a 7.951
_cell_length_b 7.951
_cell_length_c 7.951
_cell_angle_alpha 59.74
_cell_angle_beta 59.74
_cell_angle_gamma 59.74
_symmetry_space_group_name_H-M 'P 1'
_symmetry_Int_Tables_number 1
_symmetry_space_group_name_Hall 'P 1'
loop_
_atom_site_label
_atom_site_fract_x
_atom_site_fract_y
_atom_site_fract_z
_atom_site_occupancy
Pm1 0.000 0.000 0.000 1
Sm1 0.000 0.000 0.500 1
Sm2 0.000 0.500 0.000 1
Sm3 0.500 0.000 0.000 1
Sm4 0.500 0.500 0.500 1
Ho1 0.000 0.500 0.500 1
Ho2 0.500 0.000 0.500 1
Ho3 0.500 0.500 0.000 1
S1 0.251 0.251 0.741 1
S2 0.251 0.741 0.251 1
S3 0.254 0.254 0.254 1
S4 0.259 0.749 0.749 1
S5 0.741 0.251 0.251 1
S6 0.746 0.746 0.746 1
S7 0.749 0.259 0.749 1
S8 0.749 0.749 0.259 1
```

Here is crystalline SrLiRu at its relaxed geometry from Alexandria via LeMat-Bulk. Energies are from PBE.

Output
Electronic total energy ... -3.12 eV per atom
Symmetry ... F-43m
Energy of formation from the pure elements ... 3.52 eV per formula unit
Calculated volume ... 79.4 Å³ per cell

Structure (CIF):
```
data_SrLiRu
_cell_length_a 4.825
_cell_length_b 4.825
_cell_length_c 4.825
_cell_angle_alpha 60.00
_cell_angle_beta 60.00
_cell_angle_gamma 60.00
_symmetry_space_group_name_H-M 'P 1'
_symmetry_Int_Tables_number 1
_symmetry_space_group_name_Hall 'P 1'
loop_
_atom_site_label
_atom_site_fract_x
_atom_site_fract_y
_atom_site_fract_z
_atom_site_occupancy
Sr1 0.000 0.000 0.000 1
Li1 0.250 0.250 0.250 1
Ru1 0.750 0.750 0.750 1
```

What is the electronic total energy in the second record? -5.52 eV per atom

What is the calculated volume in the fourth record? 79.4 Å³ per cell

Which formula does entry 4 have? SrLiRu